{
  "formula": "Sc2CrMo",
  "functional": "PBEsol",
  "state": "optimized geometry",
  "cell": [[-2.8558, -1.1312, -1.1319], [-1.4406, -0.6993, 4.3335], [-1.7392, 4.2785, 0.1123]],
  "species": ["Cr", "Sc", "Sc", "Mo"],
  "frac_coords": [[0.5000, 0.5000, 0.5000], [0.0000, 0.0000, 0.5000], [0.0000, 0.5000, 0.0000], [0.5000, 0.0000, 0.0000]],
  "rho_g_cm3": 5.65,
  "polymorph_energy_mev_per_atom": 300,
  "formation_energy_ev_per_atom": 0.401
}